(1)
Computed, not measured: a relaxed Na5Sr6 crystal at the PBE-GGA level of DFT.

```
11
Lattice="10.489 0.000 -1.129 5.244 6.828 -0.565 2.453 0.000 7.102" Properties=species:S:1:pos:R:3 pbc="T T T"
Na 6.471 0.000 2.986
Na 5.244 1.604 -0.565
Na 10.489 5.224 -1.129
Na 6.471 3.334 2.986
Na 11.715 3.494 2.422
Sr 10.371 0.000 3.994
Sr 2.571 0.000 1.979
Sr 9.185 4.739 4.981
Sr 14.245 4.739 -0.137
Sr 9.001 2.089 0.427
Sr 3.941 2.089 5.546
```

Output
DOS(E_F): 8.171 states/eV/cell
ΔH_f (0 K): 0.069 eV per atom
SG: C2/m (12)
M_tot: 0.000 μB/atom



(2)
Computed, not measured: a relaxed Na2Sr crystal at the PBE-GGA level of DFT.

```
3
Lattice="-4.040 -0.995 1.233 1.515 -3.414 2.209 1.990 6.107 3.812" Properties=species:S:1:pos:R:3 pbc="T T T"
Sr 0.000 0.000 0.000
Na -0.995 -0.767 3.759
Na 0.459 2.466 3.495
```

Output
DOS(E_F): 2.285 states/eV/cell
ΔH_f (0 K): 0.027 eV per atom
SG: I4/mmm (139)
M_tot: 0.000 μB/atom



(3)
Computed, not measured: a relaxed Na2Sr7 crystal at the PBE-GGA level of DFT.

```
9
Lattice="7.257 0.000 0.000 -3.628 6.285 0.000 0.000 0.000 10.239" Properties=species:S:1:pos:R:3 pbc="T T T"
Na 0.000 4.190 0.000
Na 3.628 2.095 0.000
Sr 0.000 0.000 0.000
Sr 4.813 0.000 3.374
Sr -2.407 4.168 3.374
Sr 1.222 2.116 3.374
Sr -1.222 2.116 6.865
Sr 2.443 0.000 6.865
Sr 2.407 4.168 6.865
```

Output
DOS(E_F): 7.869 states/eV/cell
ΔH_f (0 K): 0.035 eV per atom
SG: P-31m (162)
M_tot: 0.000 μB/atom



(4)
Computed, not measured: a relaxed Na2Sr3 crystal at the PBE-GGA level of DFT.

```
10
Lattice="-6.357 -3.962 -0.100 4.435 -7.252 5.377 -1.138 8.820 3.426" Properties=species:S:1:pos:R:3 pbc="T T T"
Na 0.495 -0.880 3.404
Na -3.554 -1.513 5.299
Na -2.454 3.866 2.830
Na -0.605 -6.259 5.873
Sr -4.767 -2.972 -0.075
Sr -1.589 -0.991 -0.025
Sr -5.499 1.637 4.091
Sr -1.989 -3.967 3.046
Sr -1.070 1.573 5.657
Sr 2.440 -4.030 4.612
```

Output
DOS(E_F): 10.009 states/eV/cell
ΔH_f (0 K): 0.183 eV per atom
SG: Ibam (72)
Distance to the lowest polymorph of the same formula: 3.51 kcal/mol of atoms
M_tot: 0.000 μB/atom



(5)
Computed, not measured: a relaxed Na2Sr5 crystal at the PBE-GGA level of DFT.

```
14
Lattice="-5.114 -3.304 -2.494 6.376 -9.457 -0.544 -1.207 0.891 9.972" Properties=species:S:1:pos:R:3 pbc="T T T"
Na 0.583 -3.523 7.810
Na -1.159 -1.967 0.643
Na -0.528 -8.347 -0.876
Na 1.215 -9.904 6.291
Sr 0.650 -5.398 1.490
Sr -1.219 -0.088 6.966
Sr 3.494 -5.991 5.093
Sr 2.296 -8.963 2.810
Sr -3.438 -5.879 1.840
Sr -2.240 -2.907 4.124
Sr 1.275 -11.783 -0.032
Sr -0.595 -6.473 5.443
Sr -2.239 -4.841 -2.005
Sr 3.501 -7.921 -1.033
```

Output
DOS(E_F): 10.786 states/eV/cell
ΔH_f (0 K): 0.025 eV per atom
SG: C2/c (15)
Distance to the lowest polymorph of the same formula: 0.54 kcal/mol of atoms
M_tot: 0.000 μB/atom



(6)
Computed, not measured: a relaxed NaSr crystal at the PBE-GGA level of DFT.

```
2
Lattice="4.508 0.000 0.000 0.000 4.508 0.000 0.000 0.000 4.508" Properties=species:S:1:pos:R:3 pbc="T T T"
Sr 0.000 0.000 0.000
Na 2.254 2.254 2.254
```

Output
DOS(E_F): 1.719 states/eV/cell
ΔH_f (0 K): 0.023 eV per atom
SG: Pm-3m (221)
Distance to the lowest polymorph of the same formula: 0.00 kcal/mol of atoms
M_tot: 0.000 μB/atom



(7)
Computed, not measured: a relaxed NaSr2 crystal at the PBE-GGA level of DFT.

```
6
Lattice="-3.694 -0.236 -2.420 -4.756 -4.076 7.658 1.260 7.257 1.409" Properties=species:S:1:pos:R:3 pbc="T T T"
Na -4.802 0.718 7.261
Na -2.388 2.227 -0.613
Sr -6.114 3.634 4.937
Sr -1.077 -0.689 1.711
Sr -2.305 3.160 3.211
Sr -4.885 -0.215 3.437
```

Output
DOS(E_F): 3.793 states/eV/cell
ΔH_f (0 K): 0.010 eV per atom
SG: C2/m (12)
Distance to the lowest polymorph of the same formula: 0.03 kcal/mol of atoms
M_tot: 0.000 μB/atom



(8)
Computed, not measured: a relaxed Na5Sr3 crystal at the PBE-GGA level of DFT.

```
8
Lattice="4.117 0.659 0.000 -0.765 4.099 0.000 0.000 0.000 19.836" Properties=species:S:1:pos:R:3 pbc="T T T"
Na 1.676 2.379 14.060
Na 0.000 0.000 12.020
Na 1.676 2.379 9.918
Na 0.000 0.000 7.816
Na 1.676 2.379 5.776
Sr 0.000 0.000 3.121
Sr 1.676 2.379 0.000
Sr 0.000 0.000 16.715
```

Output
DOS(E_F): 6.437 states/eV/cell
ΔH_f (0 K): 0.015 eV per atom
SG: Cmmm (65)
Distance to the lowest polymorph of the same formula: 0.00 kcal/mol of atoms
M_tot: 0.000 μB/atom



(9)
Computed, not measured: a relaxed NaSr crystal at the PBE-GGA level of DFT.

```
16
Lattice="-6.179 12.205 2.374 -12.316 -5.644 -3.040 -0.492 -0.996 3.842" Properties=species:S:1:pos:R:3 pbc="T T T"
Na -3.271 4.115 0.648
Na -15.224 2.446 -1.315
Na -10.294 9.143 1.053
Na -8.201 -2.582 -1.719
Na -12.764 6.898 2.236
Na -6.222 -1.333 0.939
Na -13.608 -0.280 0.267
Na -5.378 5.845 2.908
Sr -11.857 -2.826 -2.250
Sr -6.638 9.387 1.584
Sr -2.904 0.538 -0.232
Sr -15.591 6.023 -0.434
Sr -9.034 5.601 2.377
Sr -9.952 -0.036 0.798
Sr -12.397 3.321 1.355
Sr -6.589 2.244 1.820
```

Output
DOS(E_F): 16.219 states/eV/cell
ΔH_f (0 K): 0.145 eV per atom
SG: I4/m (87)
Distance to the lowest polymorph of the same formula: 2.81 kcal/mol of atoms
M_tot: 0.000 μB/atom



(10)
Computed, not measured: a relaxed Na6Sr crystal at the PBE-GGA level of DFT.

```
7
Lattice="-2.694 -1.954 -4.277 3.537 -4.090 -0.360 -5.843 -5.602 6.239" Properties=species:S:1:pos:R:3 pbc="T T T"
Na -2.922 -2.801 3.119
Na 0.422 -3.022 -2.318
Na -5.549 -5.005 2.348
Na 0.127 -3.619 1.573
Na -2.988 -2.550 -0.386
Na -2.433 -6.074 4.307
Sr 0.000 0.000 0.000
```

Output
DOS(E_F): 3.918 states/eV/cell
ΔH_f (0 K): 0.077 eV per atom
SG: P4/mmm (123)
Distance to the lowest polymorph of the same formula: 0.94 kcal/mol of atoms
M_tot: 0.000 μB/atom



(11)
Computed, not measured: a relaxed Na3Sr7 crystal at the PBE-GGA level of DFT.

```
10
Lattice="6.043 0.000 -1.854 -1.072 7.195 -3.496 0.298 -0.674 11.748" Properties=species:S:1:pos:R:3 pbc="T T T"
Na 0.000 0.000 0.000
Na 0.506 4.958 1.649
Na 4.762 1.564 4.749
Sr -0.536 3.598 -1.748
Sr 1.076 1.620 3.508
Sr 4.192 4.901 2.891
Sr 2.365 0.510 7.709
Sr 2.904 6.011 -1.311
Sr 2.013 4.384 6.564
Sr 3.255 2.138 -0.165
```

Output
DOS(E_F): 9.112 states/eV/cell
ΔH_f (0 K): 0.033 eV per atom
SG: C2/m (12)
Distance to the lowest polymorph of the same formula: 0.00 kcal/mol of atoms
M_tot: 0.000 μB/atom



(12)
Computed, not measured: a relaxed NaSr2 crystal at the PBE-GGA level of DFT.

```
3
Lattice="-1.209 4.220 0.688 -0.750 0.495 -4.352 -6.059 -4.551 2.812" Properties=species:S:1:pos:R:3 pbc="T T T"
Sr -2.169 -0.676 0.302
Sr -5.848 0.840 -1.154
Na -0.979 2.357 -1.832
```

Output
DOS(E_F): 2.305 states/eV/cell
ΔH_f (0 K): 0.009 eV per atom
SG: C2/m (12)
Distance to the lowest polymorph of the same formula: 0.00 kcal/mol of atoms
M_tot: 0.000 μB/atom